(1)
# SrSc3Pd (PBEsol, optimized geometry)
# * density: 4.73 Mg/m³
# * final energy: -4.20 eV/atom
data_SrSc3Pd
_symmetry_space_group_name_H-M 'P m -3 m'
_symmetry_Int_Tables_number 221
_symmetry_space_group_name_Hall '-P 4 2 3'
_cell_length_a 4.869
_cell_length_b 4.869
_cell_length_c 4.869
_cell_angle_alpha 90.00
_cell_angle_beta 90.00
_cell_angle_gamma 90.00
loop_
_atom_site_label
_atom_site_type_symbol
_atom_site_fract_x
_atom_site_fract_y
_atom_site_fract_z
_atom_site_occupancy
Sr1 Sr 0.000 0.000 0.000 1
Sc1 Sc 0.000 0.000 0.500 1
Pd1 Pd 0.500 0.500 0.500 1

---

(2)
# Sr2ScPd (PBEsol, optimized geometry)
# * density: 4.76 Mg/m³
# * final energy: -3.85 eV/atom
data_Sr2ScPd
_symmetry_space_group_name_H-M 'F m -3 m'
_symmetry_Int_Tables_number 225
_symmetry_space_group_name_Hall '-F 4 2 3'
_cell_length_a 7.696
_cell_length_b 7.696
_cell_length_c 7.696
_cell_angle_alpha 90.00
_cell_angle_beta 90.00
_cell_angle_gamma 90.00
loop_
_atom_site_label
_atom_site_type_symbol
_atom_site_fract_x
_atom_site_fract_y
_atom_site_fract_z
_atom_site_occupancy
Sr1 Sr 0.250 0.250 0.250 1
Sc1 Sc 0.000 0.000 0.000 1
Pd1 Pd 0.000 0.000 0.500 1

---

(3)
# SrSc2Pd2 (PBEsol, optimized geometry)
# * density: 5.63 Mg/m³
# * final energy: -6.00 eV/atom
data_SrSc2Pd2
_symmetry_space_group_name_H-M 'I 4/m m m'
_symmetry_Int_Tables_number 139
_symmetry_space_group_name_Hall '-I 4 2'
_cell_length_a 4.428
_cell_length_b 4.428
_cell_length_c 11.732
_cell_angle_alpha 90.00
_cell_angle_beta 90.00
_cell_angle_gamma 90.00
loop_
_atom_site_label
_atom_site_type_symbol
_atom_site_fract_x
_atom_site_fract_y
_atom_site_fract_z
_atom_site_occupancy
Sr1 Sr 0.000 0.000 0.000 1
Sc1 Sc 0.000 0.500 0.250 1
Pd1 Pd 0.000 0.000 0.384 1

---

(4)
# Sc2TePd (PBEsol, optimized geometry)
# * density: 5.68 Mg/m³
# * final energy: -5.84 eV/atom
# * energy relative to the elements, uncorrected: -16.19 kJ/mol of atoms
data_Sc2TePd
_symmetry_space_group_name_H-M 'R -3 m'
_symmetry_Int_Tables_number 166
_symmetry_space_group_name_Hall '-R 3 2"'
_cell_length_a 3.5217
_cell_length_b 3.5217
_cell_length_c 26.4451
_cell_angle_alpha 90.00
_cell_angle_beta 90.00
_cell_angle_gamma 120.00
loop_
_atom_site_label
_atom_site_type_symbol
_atom_site_fract_x
_atom_site_fract_y
_atom_site_fract_z
_atom_site_occupancy
Sc1 Sc 0.0000 0.0000 0.0916 1
Te1 Te 0.0000 0.0000 0.5000 1
Pd1 Pd 0.0000 0.0000 0.0000 1

---

(5)
# ScTiPd3 (PBEsol, optimized geometry)
# * density: 6.90 Mg/m³
# * final energy: -6.08 eV/atom
data_ScTiPd3
_symmetry_space_group_name_H-M 'P m -3 m'
_symmetry_Int_Tables_number 221
_symmetry_space_group_name_Hall '-P 4 2 3'
_cell_length_a 4.629
_cell_length_b 4.629
_cell_length_c 4.629
_cell_angle_alpha 90.00
_cell_angle_beta 90.00
_cell_angle_gamma 90.00
loop_
_atom_site_label
_atom_site_type_symbol
_atom_site_fract_x
_atom_site_fract_y
_atom_site_fract_z
_atom_site_occupancy
Sc1 Sc 0.000 0.000 0.000 1
Ti1 Ti 0.500 0.500 0.500 1
Pd1 Pd 0.000 0.000 0.500 1

---

(6)
# ScPdW3 (PBEsol, optimized geometry)
# * density: 12.79 Mg/m³
# * final energy: -8.35 eV/atom
data_ScPdW3
_symmetry_space_group_name_H-M 'P m -3 m'
_symmetry_Int_Tables_number 221
_symmetry_space_group_name_Hall '-P 4 2 3'
_cell_length_a 4.502
_cell_length_b 4.502
_cell_length_c 4.502
_cell_angle_alpha 90.00
_cell_angle_beta 90.00
_cell_angle_gamma 90.00
loop_
_atom_site_label
_atom_site_type_symbol
_atom_site_fract_x
_atom_site_fract_y
_atom_site_fract_z
_atom_site_occupancy
Sc1 Sc 0.000 0.000 0.000 1
Pd1 Pd 0.500 0.500 0.500 1
W1 W 0.000 0.000 0.500 1